LiTiMn2O6: relaxed, GGA+U.

* VASP energy: -7.465 eV/atom
* density of states at the Fermi level: 0.0 states/eV/f.u.

abc: 5.064 4.975 5.521
angles: 64.10 60.32 61.11
Atoms (fractional coordinates):
Ti  0.322  0.305  0.057
Li  0.815  0.789  0.600
O  0.914  0.618  0.228
O  0.142  0.381  0.755
O  0.601  0.251  0.225
O  0.740  0.123  0.764
O  0.215  0.939  0.226
O  0.391  0.727  0.748
Mn  0.011  0.011  0.960
Mn  0.510  0.518  0.452